No. 1
# Sr4LaSe5 | the Alexandria database | PBE | optimized geometry
# Uncorrected formation energy in meV per atom: -2036
data_Sr4LaSe5
_chemical_formula_sum 'Sr8 La2 Se10'
_cell_length_a 4.408
_cell_length_b 4.408
_cell_length_c 31.313
_cell_angle_alpha 90.00
_cell_angle_beta 90.00
_cell_angle_gamma 90.00
_space_group_name_H-M_alt 'I 4/m m m'
_space_group_IT_number 139
_space_group_name_Hall '-I 4 2'
loop_
_atom_site_label
_atom_site_type_symbol
_atom_site_fract_x
_atom_site_fract_y
_atom_site_fract_z
_atom_site_occupancy
Sr1 Sr 0.000 0.000 0.099 1
Sr2 Sr 0.000 0.000 0.300 1
La1 La 0.000 0.000 0.500 1
Se1 Se 0.000 0.000 0.000 1
Se2 Se 0.000 0.000 0.200 1
Se3 Se 0.000 0.000 0.402 1

No. 2
# GaB2Rh | the Alexandria database | PBE | optimized geometry
# ΔE_f in meV/atom: 507
data_GaB2Rh
_chemical_formula_sum 'Ga4 B8 Rh4'
_cell_length_a 5.028
_cell_length_b 5.028
_cell_length_c 8.931
_cell_angle_alpha 90.00
_cell_angle_beta 90.00
_cell_angle_gamma 90.00
_space_group_name_H-M_alt 'I -4 2 d'
_space_group_IT_number 122
_space_group_name_Hall 'I -4 2bw'
loop_
_atom_site_label
_atom_site_type_symbol
_atom_site_fract_x
_atom_site_fract_y
_atom_site_fract_z
_atom_site_occupancy
Ga1 Ga 0.000 0.000 0.000 1
B1 B 0.219 0.250 0.625 1
Rh1 Rh 0.000 0.000 0.500 1

No. 3
# Nd2ThPdSe5 | the Alexandria database | PBE | optimized geometry
# Uncorrected formation energy in meV per atom: -1581
data_Nd2ThPdSe5
_chemical_formula_sum 'Nd8 Th4 Pd4 Se20'
_cell_length_a 4.093
_cell_length_b 17.610
_cell_length_c 12.703
_cell_angle_alpha 90.00
_cell_angle_beta 90.00
_cell_angle_gamma 90.00
_space_group_name_H-M_alt 'C m c 21'
_space_group_IT_number 36
loop_
_space_group_symop_operation_xyz
'x,y,z'
'-x,-y,z+1/2'
'-x,y,z'
'x,-y,z+1/2'
'x+1/2,y+1/2,z'
'-x+1/2,-y+1/2,z+1/2'
'-x+1/2,y+1/2,z'
'x+1/2,-y+1/2,z+1/2'
loop_
_atom_site_label
_atom_site_type_symbol
_atom_site_fract_x
_atom_site_fract_y
_atom_site_fract_z
_atom_site_occupancy
Nd1 Nd 0.000 0.098 0.000 1
Nd2 Nd 0.000 0.120 0.340 1
Th1 Th 0.000 0.174 0.665 1
Pd1 Pd 0.000 0.440 0.068 1
Se1 Se 0.000 0.012 0.674 1
Se2 Se 0.000 0.304 0.996 1
Se3 Se 0.000 0.305 0.332 1
Se4 Se 0.000 0.343 0.663 1
Se5 Se 0.000 0.498 0.387 1

No. 4
# BaAg5Te4 | the Alexandria database | PBE | optimized geometry
# Uncorrected formation energy in meV per atom: -322
data_BaAg5Te4
_chemical_formula_sum 'Ba2 Ag10 Te8'
_cell_length_a 9.166
_cell_length_b 10.426
_cell_length_c 5.976
_cell_angle_alpha 90.00
_cell_angle_beta 90.00
_cell_angle_gamma 90.00
_space_group_name_H-M_alt 'P m m n'
_space_group_IT_number 59
loop_
_space_group_symop_operation_xyz
'x,y,z'
'-x,-y,-z'
'-x+1/2,-y+1/2,z'
'x+1/2,y+1/2,-z'
'x+1/2,-y,-z'
'-x+1/2,y,z'
'-x,y+1/2,-z'
'x,-y+1/2,z'
loop_
_atom_site_label
_atom_site_type_symbol
_atom_site_fract_x
_atom_site_fract_y
_atom_site_fract_z
_atom_site_occupancy
Ba1 Ba 0.250 0.250 0.019 1
Ag1 Ag 0.027 0.512 0.742 1
Ag2 Ag 0.250 0.750 0.670 1
Te1 Te 0.034 0.250 0.513 1
Te2 Te 0.250 0.572 0.055 1

No. 5
# LaYO3 | the Alexandria database | PBE | optimized geometry
# Uncorrected formation energy in meV per atom: -3426
data_LaYO3
_chemical_formula_sum 'La2 Y2 O6'
_cell_length_a 5.844
_cell_length_b 3.977
_cell_length_c 8.347
_cell_angle_alpha 90.00
_cell_angle_beta 101.27
_cell_angle_gamma 90.00
_space_group_name_H-M_alt 'P 1 21/m 1'
_space_group_IT_number 11
loop_
_space_group_symop_operation_xyz
'x,y,z'
'-x,-y,-z'
'-x,y+1/2,-z'
'x,-y+1/2,z'
loop_
_atom_site_label
_atom_site_type_symbol
_atom_site_fract_x
_atom_site_fract_y
_atom_site_fract_z
_atom_site_occupancy
La1 La 0.224 0.250 0.395 1
Y1 Y 0.397 0.250 0.833 1
O1 O 0.066 0.250 0.657 1
O2 O 0.430 0.250 0.114 1
O3 O 0.444 0.750 0.382 1

No. 6
# Pm4Ho2ErTh | the Alexandria database | PBE | optimized geometry
# ΔE_f in meV/atom: 140
data_Pm4Ho2ErTh
_chemical_formula_sum 'Pm4 Ho2 Er1 Th1'
_cell_length_a 6.004
_cell_length_b 6.004
_cell_length_c 7.298
_cell_angle_alpha 90.00
_cell_angle_beta 90.04
_cell_angle_gamma 90.00
_space_group_name_H-M_alt 'P 1 2/m 1'
_space_group_IT_number 10
loop_
_space_group_symop_operation_xyz
'x,y,z'
'-x,-y,-z'
'-x,y,-z'
'x,-y,z'
loop_
_atom_site_label
_atom_site_type_symbol
_atom_site_fract_x
_atom_site_fract_y
_atom_site_fract_z
_atom_site_occupancy
Pm1 Pm 0.000 0.000 0.249 1
Pm2 Pm 0.499 0.500 0.249 1
Ho1 Ho 0.000 0.500 0.000 1
Ho2 Ho 0.500 0.000 0.500 1
Er1 Er 0.000 0.500 0.500 1
Th1 Th 0.500 0.000 0.000 1

Number 1: energy -49.44 eV/f.u.. Number 2: energy -21.71 eV/f.u.. Number 3: energy -53.80 eV/f.u.. Number 4: energy -31.96 eV/f.u.. Number 5: energy -43.39 eV/f.u.. Number 6: energy -39.02 eV/f.u..